Record 1
An optimized crystal structure of Ac4PbN2. Source: Alexandria, functional PBE.

Summary:
The calculation puts the formation energy from raw total energies at -0.719 eV/atom. The total energy comes out at -167.31 eV per cell. The magnetic moment comes out at 0.001 μB/atom.

Structure (CIF):
```
data_Ac4PbN2
_chemical_formula_sum 'Ac16 Pb4 N8'
_cell_length_a 10.6695
_cell_length_b 10.6695
_cell_length_c 8.1242
_cell_angle_alpha 90.00
_cell_angle_beta 90.00
_cell_angle_gamma 90.00
_symmetry_space_group_name_H-M 'I -4 2 d'
_symmetry_Int_Tables_number 122
_symmetry_space_group_name_Hall 'I -4 2bw'
loop_
_atom_site_label
_atom_site_type_symbol
_atom_site_fract_x
_atom_site_fract_y
_atom_site_fract_z
Ac1 Ac 0.0585 0.6998 0.3832
Pb1 Pb 0.0000 0.0000 0.5000
N1 N 0.0639 0.2500 0.1250
```

Record 2
An optimized crystal structure of Ac4Pb2N. Source: Alexandria, functional PBE.

Summary:
The calculation puts the formation energy from raw total energies at -0.674 eV/atom. The total energy comes out at -73.78 eV per cell. The magnetic moment comes out at 0.000 μB/atom.

Structure (CIF):
```
data_Ac4Pb2N
_chemical_formula_sum 'Ac8 Pb4 N2'
_cell_length_a 5.2260
_cell_length_b 5.2260
_cell_length_c 17.8078
_cell_angle_alpha 90.00
_cell_angle_beta 90.00
_cell_angle_gamma 90.00
_symmetry_space_group_name_H-M 'I 4/m m m'
_symmetry_Int_Tables_number 139
_symmetry_space_group_name_Hall '-I 4 2'
loop_
_atom_site_label
_atom_site_type_symbol
_atom_site_fract_x
_atom_site_fract_y
_atom_site_fract_z
Ac1 Ac 0.0000 0.0000 0.1666
Ac2 Ac 0.0000 0.5000 0.0000
Pb1 Pb 0.0000 0.0000 0.3597
N1 N 0.0000 0.0000 0.0000
```

Record 3
An optimized crystal structure of Ac4Pm2Pb3N2. Source: Alexandria, functional PBE.

Summary:
The calculation puts the formation energy from raw total energies at -0.728 eV/atom. The total energy comes out at -123.43 eV per cell. The magnetic moment comes out at 0.000 μB/atom.

Structure (CIF):
```
data_Ac4Pm2Pb3N2
_chemical_formula_sum 'Ac8 Pm4 Pb6 N4'
_cell_length_a 5.1540
_cell_length_b 5.1540
_cell_length_c 26.8843
_cell_angle_alpha 90.00
_cell_angle_beta 90.00
_cell_angle_gamma 90.00
_symmetry_space_group_name_H-M 'I 4/m m m'
_symmetry_Int_Tables_number 139
_symmetry_space_group_name_Hall '-I 4 2'
loop_
_atom_site_label
_atom_site_type_symbol
_atom_site_fract_x
_atom_site_fract_y
_atom_site_fract_z
Ac1 Ac 0.0000 0.5000 0.0882
Pm1 Pm 0.0000 0.0000 0.1958
Pb1 Pb 0.0000 0.0000 0.3193
Pb2 Pb 0.0000 0.0000 0.5000
N1 N 0.0000 0.0000 0.1106
```

Record 4
An optimized crystal structure of Ac2Pm4Pb3N2. Source: Alexandria, functional PBE.

Summary:
The calculation puts the formation energy from raw total energies at -0.857 eV/atom. The total energy comes out at -128.84 eV per cell. The magnetic moment comes out at 0.000 μB/atom.

Structure (CIF):
```
data_Ac2Pm4Pb3N2
_chemical_formula_sum 'Ac4 Pm8 Pb6 N4'
_cell_length_a 4.9532
_cell_length_b 4.9532
_cell_length_c 26.8135
_cell_angle_alpha 90.00
_cell_angle_beta 90.00
_cell_angle_gamma 90.00
_symmetry_space_group_name_H-M 'I 4/m m m'
_symmetry_Int_Tables_number 139
_symmetry_space_group_name_Hall '-I 4 2'
loop_
_atom_site_label
_atom_site_type_symbol
_atom_site_fract_x
_atom_site_fract_y
_atom_site_fract_z
Ac1 Ac 0.0000 0.0000 0.1910
Pm1 Pm 0.0000 0.5000 0.0813
Pb1 Pb 0.0000 0.0000 0.3282
Pb2 Pb 0.0000 0.0000 0.5000
N1 N 0.0000 0.0000 0.0987
```